Here is crystalline Sr2MgZn3Au6 at its relaxed geometry from Alexandria via LeMat-Bulk. Energies are from GGA-PBE.

The structure belongs to space group P4/mmm (No. 123); the cell edges are 4.328, 4.328 and 16.477 Å and the angles 90.00°, 90.00° and 90.00°. The inequivalent atoms are Sr at (0.000, 0.000, 0.221), Mg at (0.000, 0.000, 0.500), Zn at (0.500, 0.500, 0.000), Zn at (0.500, 0.500, 0.307), Au at (0.000, 0.500, 0.397) and Au at (0.500, 0.500, 0.152).

Its density of states at the Fermi level is 4.1 states/eV per cell. As for the formation enthalpy at 0 K: -0.358 eV/atom.

---

Here is crystalline Mg2BeInTc at its relaxed geometry from Alexandria via LeMat-Bulk. Energies are from GGA-PBE.

The structure belongs to space group P4/mmm (No. 123); the cell edges are 5.065, 5.065 and 4.308 Å and the angles 90.00°, 90.00° and 90.00°. The inequivalent atoms are Mg at (0.000, 0.500, 0.000), Be at (0.000, 0.000, 0.500), In at (0.500, 0.500, 0.500) and Tc at (0.000, 0.000, 0.000).

Its density of states at the Fermi level is 4.0 states/eV per cell. As for the formation enthalpy at 0 K: 0.745 eV/atom.

---

Question: Which formula does entry 1 have?
Answer: Sr2MgZn3Au6